[1]
! Dy12HoTm6 (PBE-GGA, relaxed); values from VASP
&SYSTEM
  ibrav = 0, nat = 19, ntyp = 3
/
ATOMIC_SPECIES
Dy 162.50 Dy.upf
Ho 164.93 Ho.upf
Tm 168.93 Tm.upf
ATOMIC_POSITIONS crystal
Dy 0.011 0.359 0.203
Dy 0.203 0.011 0.359
Dy 0.224 0.566 0.458
Dy 0.359 0.203 0.011
Dy 0.434 0.542 0.776
Dy 0.458 0.224 0.566
Dy 0.542 0.776 0.434
Dy 0.566 0.458 0.224
Dy 0.641 0.797 0.989
Dy 0.776 0.434 0.542
Dy 0.797 0.989 0.641
Dy 0.989 0.641 0.797
Ho 0.000 0.000 0.000
Tm 0.095 0.257 0.693
Tm 0.257 0.693 0.095
Tm 0.307 0.905 0.743
Tm 0.693 0.095 0.257
Tm 0.743 0.307 0.905
Tm 0.905 0.743 0.307
CELL_PARAMETERS angstrom
5.882 3.396 5.018
-5.882 3.396 5.018
0.000 -6.792 5.018
! energy above the lowest structure with this stoichiometry: 0.0 kJ/mol of atoms
! space group: R-3
! total energy: -83.6 eV/cell
! energy of formation: 0.16 eV per atom
! V: 601.4 Å³/f.u.

[2]
! Dy12HoTm7 (PBE-GGA, relaxed); values from VASP
&SYSTEM
  ibrav = 0, nat = 20, ntyp = 3
/
ATOMIC_SPECIES
Dy 162.50 Dy.upf
Ho 164.93 Ho.upf
Tm 168.93 Tm.upf
ATOMIC_POSITIONS crystal
Dy 0.073 0.284 0.494
Dy 0.206 0.747 0.270
Dy 0.253 0.730 0.794
Dy 0.270 0.206 0.747
Dy 0.284 0.494 0.073
Dy 0.494 0.073 0.284
Dy 0.506 0.927 0.716
Dy 0.716 0.506 0.927
Dy 0.730 0.794 0.253
Dy 0.747 0.270 0.206
Dy 0.794 0.253 0.730
Dy 0.927 0.716 0.506
Ho 0.500 0.500 0.500
Tm 0.000 0.000 0.000
Tm 0.070 0.373 0.209
Tm 0.209 0.070 0.373
Tm 0.373 0.209 0.070
Tm 0.627 0.791 0.930
Tm 0.791 0.930 0.627
Tm 0.930 0.627 0.791
CELL_PARAMETERS angstrom
9.221 5.324 2.200
-9.221 5.324 2.200
0.000 -10.647 2.200
! energy above the lowest structure with this stoichiometry: 2.4 kJ/mol of atoms
! space group: R-3
! total energy: -84.5 eV/cell
! energy of formation: 0.33 eV per atom
! V: 647.9 Å³/f.u.

[3]
! Dy12Ho3Tm (PBE-GGA, relaxed); values from VASP
&SYSTEM
  ibrav = 0, nat = 16, ntyp = 3
/
ATOMIC_SPECIES
Dy 162.50 Dy.upf
Ho 164.93 Ho.upf
Tm 168.93 Tm.upf
ATOMIC_POSITIONS crystal
Dy 0.000 0.000 0.000
Dy 0.000 0.000 0.250
Dy 0.000 0.000 0.500
Dy 0.000 0.000 0.750
Dy 0.000 0.500 0.125
Dy 0.000 0.500 0.375
Dy 0.000 0.500 0.625
Dy 0.000 0.500 0.875
Dy 0.500 0.000 0.125
Dy 0.500 0.000 0.375
Dy 0.500 0.000 0.625
Dy 0.500 0.000 0.875
Ho 0.500 0.500 0.000
Ho 0.500 0.500 0.250
Ho 0.500 0.500 0.750
Tm 0.500 0.500 0.500
CELL_PARAMETERS angstrom
4.991 0.000 0.000
0.000 4.991 0.000
0.000 0.000 19.943
! space group: P4/mmm
! total energy: -73.1 eV/cell
! energy of formation: 0.02 eV per atom
! V: 496.7 Å³/f.u.

[4]
! Dy3Ho2Tm8 (PBE-GGA, relaxed); values from VASP
&SYSTEM
  ibrav = 0, nat = 13, ntyp = 3
/
ATOMIC_SPECIES
Dy 162.50 Dy.upf
Ho 164.93 Ho.upf
Tm 168.93 Tm.upf
ATOMIC_POSITIONS crystal
Dy 0.000 0.000 0.000
Dy 0.285 0.285 0.500
Dy 0.715 0.715 0.500
Ho 0.241 0.759 0.000
Ho 0.759 0.241 0.000
Tm 0.133 0.867 0.500
Tm 0.178 0.397 0.000
Tm 0.333 0.667 0.500
Tm 0.397 0.178 0.000
Tm 0.603 0.822 0.000
Tm 0.667 0.333 0.500
Tm 0.822 0.603 0.000
Tm 0.867 0.133 0.500
CELL_PARAMETERS angstrom
3.754 -10.028 0.000
3.754 10.028 0.000
0.000 0.000 5.512
! energy above the lowest structure with this stoichiometry: 8.6 kJ/mol of atoms
! space group: Cmmm
! total energy: -55.5 eV/cell
! energy of formation: 0.25 eV per atom
! V: 415.0 Å³/f.u.

[5]
! Dy2Ho12Tm (PBE-GGA, relaxed); values from VASP
&SYSTEM
  ibrav = 0, nat = 15, ntyp = 3
/
ATOMIC_SPECIES
Dy 162.50 Dy.upf
Ho 164.93 Ho.upf
Tm 168.93 Tm.upf
ATOMIC_POSITIONS crystal
Dy 0.143 0.000 0.281
Dy 0.857 0.000 0.719
Ho 0.071 0.000 0.137
Ho 0.225 0.500 0.447
Ho 0.285 0.000 0.573
Ho 0.329 0.500 0.665
Ho 0.395 0.500 0.795
Ho 0.464 0.500 0.931
Ho 0.536 0.500 0.069
Ho 0.605 0.500 0.205
Ho 0.671 0.500 0.335
Ho 0.715 0.000 0.427
Ho 0.775 0.500 0.553
Ho 0.929 0.000 0.863
Tm 0.000 0.000 0.000
CELL_PARAMETERS angstrom
3.542 0.000 0.000
0.000 5.316 0.000
-1.749 0.000 24.877
! space group: P2/m
! total energy: -66.8 eV/cell
! energy of formation: 0.12 eV per atom
! V: 468.3 Å³/f.u.

[6]
! Dy12Ho5Tm2 (PBE-GGA, relaxed); values from VASP
&SYSTEM
  ibrav = 0, nat = 19, ntyp = 3
/
ATOMIC_SPECIES
Dy 162.50 Dy.upf
Ho 164.93 Ho.upf
Tm 168.93 Tm.upf
ATOMIC_POSITIONS crystal
Dy 0.012 0.391 0.218
Dy 0.027 0.200 0.637
Dy 0.204 0.171 0.359
Dy 0.306 0.012 0.802
Dy 0.444 0.657 0.268
Dy 0.468 0.260 0.130
Dy 0.532 0.740 0.870
Dy 0.556 0.343 0.732
Dy 0.694 0.988 0.198
Dy 0.796 0.829 0.641
Dy 0.973 0.800 0.363
Dy 0.988 0.609 0.782
Ho 0.164 0.872 0.076
Ho 0.277 0.598 0.540
Ho 0.500 0.000 0.500
Ho 0.723 0.402 0.460
Ho 0.836 0.128 0.924
Tm 0.236 0.445 0.961
Tm 0.764 0.555 0.039
CELL_PARAMETERS angstrom
6.439 0.000 0.000
-1.227 8.710 0.000
-0.552 -3.921 10.627
! energy above the lowest structure with this stoichiometry: 0.0 kJ/mol of atoms
! space group: P-1
! total energy: -85.4 eV/cell
! energy of formation: 0.09 eV per atom
! V: 596.0 Å³/f.u.

[7]
! Dy4Ho6Tm19 (PBE-GGA, relaxed); values from VASP
&SYSTEM
  ibrav = 0, nat = 29, ntyp = 3
/
ATOMIC_SPECIES
Dy 162.50 Dy.upf
Ho 164.93 Ho.upf
Tm 168.93 Tm.upf
ATOMIC_POSITIONS crystal
Dy 0.000 0.000 0.357
Dy 0.000 0.357 0.000
Dy 0.357 0.000 0.000
Dy 0.643 0.643 0.643
Ho 0.129 0.500 0.629
Ho 0.371 0.871 0.500
Ho 0.500 0.371 0.871
Ho 0.500 0.629 0.129
Ho 0.629 0.129 0.500
Ho 0.871 0.500 0.371
Tm 0.000 0.000 0.000
Tm 0.000 0.262 0.262
Tm 0.000 0.738 0.738
Tm 0.014 0.212 0.675
Tm 0.197 0.986 0.661
Tm 0.212 0.675 0.014
Tm 0.262 0.000 0.262
Tm 0.262 0.262 0.000
Tm 0.325 0.537 0.339
Tm 0.339 0.325 0.537
Tm 0.463 0.788 0.803
Tm 0.537 0.339 0.325
Tm 0.661 0.197 0.986
Tm 0.675 0.014 0.212
Tm 0.738 0.000 0.738
Tm 0.738 0.738 0.000
Tm 0.788 0.803 0.463
Tm 0.803 0.463 0.788
Tm 0.986 0.661 0.197
CELL_PARAMETERS angstrom
-6.144 6.144 6.144
6.144 -6.144 6.144
6.144 6.144 -6.144
! space group: I23
! total energy: -119.4 eV/cell
! energy of formation: 0.40 eV per atom
! V: 927.5 Å³/f.u.

[8]
! Dy3Ho5Tm2 (PBE-GGA, relaxed); values from VASP
&SYSTEM
  ibrav = 0, nat = 20, ntyp = 3
/
ATOMIC_SPECIES
Dy 162.50 Dy.upf
Ho 164.93 Ho.upf
Tm 168.93 Tm.upf
ATOMIC_POSITIONS crystal
Dy 0.250 0.159 0.409
Dy 0.250 0.250 0.000
Dy 0.250 0.659 0.909
Dy 0.750 0.341 0.091
Dy 0.750 0.750 0.000
Dy 0.750 0.841 0.591
Ho 0.157 0.401 0.557
Ho 0.250 0.000 0.750
Ho 0.250 0.500 0.250
Ho 0.250 0.750 0.500
Ho 0.343 0.901 0.244
Ho 0.657 0.099 0.756
Ho 0.750 0.000 0.250
Ho 0.750 0.250 0.500
Ho 0.750 0.500 0.750
Ho 0.843 0.599 0.443
Tm 0.156 0.901 0.058
Tm 0.344 0.401 0.745
Tm 0.656 0.599 0.255
Tm 0.844 0.099 0.942
CELL_PARAMETERS angstrom
-6.343 8.383 3.101
6.343 -8.383 3.101
6.343 8.383 -3.101
! energy above the lowest structure with this stoichiometry: 15.0 kJ/mol of atoms
! space group: Ibam
! total energy: -84.1 eV/cell
! energy of formation: 0.36 eV per atom
! V: 329.8 Å³/f.u.

[9]
! Dy2Ho7Tm2 (PBE-GGA, relaxed); values from VASP
&SYSTEM
  ibrav = 0, nat = 11, ntyp = 3
/
ATOMIC_SPECIES
Dy 162.50 Dy.upf
Ho 164.93 Ho.upf
Tm 168.93 Tm.upf
ATOMIC_POSITIONS crystal
Dy 0.177 0.823 0.000
Dy 0.823 0.177 0.000
Ho 0.052 0.419 0.708
Ho 0.348 0.348 0.092
Ho 0.419 0.052 0.708
Ho 0.500 0.500 0.500
Ho 0.581 0.948 0.292
Ho 0.652 0.652 0.908
Ho 0.948 0.581 0.292
Tm 0.105 0.105 0.356
Tm 0.895 0.895 0.644
CELL_PARAMETERS angstrom
4.429 -4.658 0.000
4.429 4.658 0.000
-1.649 0.000 8.381
! energy above the lowest structure with this stoichiometry: 0.0 kJ/mol of atoms
! space group: C2/m
! total energy: -48.9 eV/cell
! energy of formation: 0.11 eV per atom
! V: 345.8 Å³/f.u.

[10]
! Dy5Ho3Tm (PBE-GGA, relaxed); values from VASP
&SYSTEM
  ibrav = 0, nat = 18, ntyp = 3
/
ATOMIC_SPECIES
Dy 162.50 Dy.upf
Ho 164.93 Ho.upf
Tm 168.93 Tm.upf
ATOMIC_POSITIONS crystal
Dy 0.042 0.621 0.289
Dy 0.106 0.894 0.750
Dy 0.151 0.508 0.626
Dy 0.379 0.958 0.211
Dy 0.492 0.849 0.874
Dy 0.508 0.151 0.126
Dy 0.621 0.042 0.789
Dy 0.849 0.492 0.374
Dy 0.894 0.106 0.250
Dy 0.958 0.379 0.711
Ho 0.032 0.650 0.987
Ho 0.350 0.968 0.513
Ho 0.500 0.500 0.000
Ho 0.500 0.500 0.500
Ho 0.650 0.032 0.487
Ho 0.968 0.350 0.013
Tm 0.374 0.626 0.250
Tm 0.626 0.374 0.750
CELL_PARAMETERS angstrom
8.993 -3.139 0.000
8.993 3.139 0.000
-4.231 0.000 10.484
! energy above the lowest structure with this stoichiometry: 0.0 kJ/mol of atoms
! space group: C2/c
! total energy: -77.0 eV/cell
! energy of formation: 0.30 eV per atom
! V: 296.0 Å³/f.u.

[11]
! Dy8Ho3Tm3 (PBE-GGA, relaxed); values from VASP
&SYSTEM
  ibrav = 0, nat = 14, ntyp = 3
/
ATOMIC_SPECIES
Dy 162.50 Dy.upf
Ho 164.93 Ho.upf
Tm 168.93 Tm.upf
ATOMIC_POSITIONS crystal
Dy 0.056 0.897 0.159
Dy 0.064 0.722 0.341
Dy 0.263 0.103 0.159
Dy 0.381 0.722 0.659
Dy 0.619 0.278 0.341
Dy 0.737 0.897 0.841
Dy 0.936 0.278 0.659
Dy 0.944 0.103 0.841
Ho 0.319 0.319 0.000
Ho 0.500 0.000 0.500
Ho 0.681 0.681 0.000
Tm 0.000 0.500 0.500
Tm 0.298 0.500 0.798
Tm 0.702 0.500 0.202
CELL_PARAMETERS angstrom
-2.779 5.336 7.386
2.779 -5.336 7.386
2.779 5.336 -7.386
! energy above the lowest structure with this stoichiometry: 0.0 kJ/mol of atoms
! space group: Immm
! total energy: -62.3 eV/cell
! energy of formation: 0.12 eV per atom
! V: 438.0 Å³/f.u.

[12]
! Dy6HoTm6 (PBE-GGA, relaxed); values from VASP
&SYSTEM
  ibrav = 0, nat = 13, ntyp = 3
/
ATOMIC_SPECIES
Dy 162.50 Dy.upf
Ho 164.93 Ho.upf
Tm 168.93 Tm.upf
ATOMIC_POSITIONS crystal
Dy 0.000 0.168 0.000
Dy 0.000 0.832 0.000
Dy 0.263 0.000 0.738
Dy 0.354 0.500 0.642
Dy 0.646 0.500 0.358
Dy 0.737 0.000 0.262
Ho 0.000 0.500 0.000
Tm 0.000 0.274 0.500
Tm 0.000 0.726 0.500
Tm 0.500 0.199 0.500
Tm 0.500 0.276 0.000
Tm 0.500 0.724 0.000
Tm 0.500 0.801 0.500
CELL_PARAMETERS angstrom
6.498 0.000 0.000
0.000 10.882 0.000
-2.772 0.000 5.879
! space group: P2/m
! total energy: -56.1 eV/cell
! energy of formation: 0.23 eV per atom
! V: 415.6 Å³/f.u.